# 1
# Zn3CdAg4

A relaxed Zn3CdAg4 crystal (PBE, Alexandria via LeMat-Bulk).

Properties
Calculated density: 9.034 g cm⁻³
ΔE_f: -2 kJ per mole of atoms
Magnetic moment: 0.00 μB per formula unit

Cell: 9.129 6.526 4.566 Å, 90.00 90.00 90.00°
Space group Pmma (No. 51)
Inequivalent atoms, fractional coordinates:
Zn 0.000 0.000 0.000
Zn 0.250 0.000 0.498
Zn 0.250 0.500 0.499
Cd 0.000 0.500 0.000
Ag 0.000 0.236 0.500
Ag 0.250 0.236 0.998



# 2
# CsK4Ir3O12

A relaxed CsK4Ir3O12 crystal (PBE, Alexandria via LeMat-Bulk).

Properties
Calculated density: 4.420 g cm⁻³
Formation energy from raw total energies: -0.91 eV per atom
Magnetic moment: 2.10 μB per formula unit

Cell: 9.263 9.263 9.263 Å, 90.00 90.00 90.00°
Space group Im-3 (No. 204)
Inequivalent atoms, fractional coordinates:
Cs 0.000 0.000 0.000
K 0.250 0.250 0.250
Ir 0.000 0.000 0.500
O 0.000 0.137 0.360



# 3
# La3HoCd4

A relaxed La3HoCd4 crystal (PBE, Alexandria via LeMat-Bulk).

Properties
Calculated density: 7.312 g cm⁻³
ΔE_f: -31 kJ per mole of atoms
Magnetic moment: 1.22 μB per formula unit

Cell: 3.847 3.847 15.823 Å, 90.00 90.00 90.00°
Space group P4/mmm (No. 123)
Inequivalent atoms, fractional coordinates:
La 0.000 0.000 0.000
La 0.000 0.000 0.258
Ho 0.000 0.000 0.500
Cd 0.500 0.500 0.128
Cd 0.500 0.500 0.391



# 4
# Rb2ScReO6

A relaxed Rb2ScReO6 crystal (PBE, Alexandria via LeMat-Bulk).

Properties
Calculated density: 4.331 g cm⁻³
Formation energy from raw total energies: -2.03 eV per atom
Magnetic moment: 0.00 μB per formula unit

Cell: 6.3650 6.3650 5.4429 Å, 90.00 90.00 120.00°
Space group P-3m1 (No. 164)
Inequivalent atoms, fractional coordinates:
Rb 0.3333 0.6667 0.1696
Sc 0.0000 0.0000 0.5000
Re 0.0000 0.0000 0.0000
O 0.1358 0.2716 0.7820



Look up the calculated density of the second one.
4.420 g cm⁻³